No. 1
Here is a relaxed LaSb4Mo crystal from Alexandria via LeMat-Bulk. Energies are from PBE-GGA.

Properties
The density of states at the Fermi level comes out at 1.02 states/eV per atom. As for the space-group type: F-43m. The formation energy (no corrections) is 39.86 kJ/mol of atoms.

a = 6.2259 Å, b = 6.2259 Å, c = 6.2259 Å
α = 60.00°, β = 60.00°, γ = 60.00°
With the nearest neighbours (Å) after each atom.
Fractional coordinates of all 6 atoms:
La  0.7500  0.7500  0.7500  12 Sb 3.65, 4 Mo 3.81
Sb  0.8772  0.3743  0.3743  6 Sb 3.09-3.13
Sb  0.3743  0.3743  0.8772  6 Sb 3.09-3.13
Sb  0.3743  0.8772  0.3743  6 Sb 3.09-3.13
Sb  0.3743  0.3743  0.3743  6 Sb 3.09-3.13
Mo  0.0000  0.0000  0.0000  12 Sb 3.65, 4 La 3.81

***

No. 2
Here is a relaxed LaTb6Dy crystal from Alexandria via LeMat-Bulk. Energies are from PBE-GGA.

Properties
The density of states at the Fermi level comes out at 1.58 states/eV per atom. As for the space-group type: P4/mmm. As for the formation energy: 2.44 kJ/mol of atoms.

a = 5.0692 Å, b = 5.0692 Å, c = 10.1390 Å
α = 90.00°, β = 90.00°, γ = 90.00°
With the nearest neighbours (Å) after each atom.
Fractional coordinates of all 8 atoms:
La  0.0000  0.0000  0.0000  12 Tb 3.58-3.61
Tb  0.5000  0.5000  0.0000  4 La 3.58, 8 Tb 3.61
Tb  0.5000  0.5000  0.5000  8 Tb 3.56, 4 Dy 3.58
Tb  0.5000  0.0000  0.2541  8 Tb 3.56-3.61, 2 Dy 3.56, 2 La 3.61
Tb  0.5000  0.0000  0.7459  8 Tb 3.56-3.61, 2 Dy 3.56, 2 La 3.61
Tb  0.0000  0.5000  0.2541  8 Tb 3.56-3.61, 2 Dy 3.56, 2 La 3.61
Tb  0.0000  0.5000  0.7459  2 Dy 3.56, 8 Tb 3.56-3.61, 2 La 3.61
Dy  0.0000  0.0000  0.5000  12 Tb 3.56-3.58

***

No. 3
Here is a relaxed PmSm2UO8 crystal from Alexandria via LeMat-Bulk. Energies are from PBE-GGA.

Properties
The density of states at the Fermi level comes out at 0.79 states/eV per atom. As for the space-group type: Pmmm. The formation energy (no corrections) is -310.12 kJ/mol of atoms.

a = 3.9363 Å, b = 5.4700 Å, c = 7.6732 Å
α = 90.00°, β = 90.00°, γ = 90.03°
With the nearest neighbours (Å) after each atom.
Fractional coordinates of all 12 atoms:
Pm  0.0000  0.0000  0.5000  8 O 2.41-2.50
Sm  0.5000  0.5000  0.7526  8 O 2.36-2.44
Sm  0.5000  0.5000  0.2474  8 O 2.36-2.44
U  0.0000  0.0000  0.0000  8 O 2.14-2.32
O  0.0003  0.7619  0.2218  1 U 2.14
O  0.5004  0.7752  0.0000  2 U 2.32, 2 Sm 2.42, 1 O 2.46
O  0.9997  0.2380  0.2218  1 U 2.14
O  0.9997  0.2381  0.7782  1 U 2.14
O  0.4996  0.2248  0.0000  2 U 2.32, 2 Sm 2.42, 1 O 2.46
O  0.0003  0.7620  0.7782  1 U 2.14
O  0.5000  0.7465  0.5000  2 Sm 2.36, 2 Pm 2.41
O  0.5000  0.2535  0.5000  2 Sm 2.36, 2 Pm 2.41

***

No. 4
Here is a relaxed LuPaGe4 crystal from Alexandria via LeMat-Bulk. Energies are from PBE-GGA.

Properties
The density of states at the Fermi level comes out at 1.74 states/eV per atom. As for the space-group type: F-43m. As for the formation energy: 76.22 kJ/mol of atoms.

a = 6.7372 Å, b = 6.7372 Å, c = 6.7372 Å
α = 60.00°, β = 60.00°, γ = 60.00°
With the nearest neighbours (Å) after each atom.
Fractional coordinates of all 6 atoms:
Ge  0.8433  0.8433  0.4700  3 Ge 2.51, 1 Lu 2.59
Ge  0.8433  0.4700  0.8433  3 Ge 2.51, 1 Lu 2.59
Ge  0.8433  0.8433  0.8433  3 Ge 2.51, 1 Lu 2.59
Ge  0.4700  0.8433  0.8433  3 Ge 2.51, 1 Lu 2.59
Pa  0.2500  0.2500  0.2500  12 Ge 4.07, 4 Lu 4.13
Lu  0.0000  0.0000  0.0000  4 Ge 2.59

***

No. 5
Here is a relaxed Pm2Mg5Ga4 crystal from Alexandria via LeMat-Bulk. Energies are from PBE-GGA.

Properties
The density of states at the Fermi level comes out at 0.65 states/eV per atom. As for the space-group type: Fmmm. As for the formation energy: -21.71 kJ/mol of atoms.

a = 6.0823 Å, b = 6.4113 Å, c = 8.0955 Å
α = 79.74°, β = 67.94°, γ = 61.68°
With the nearest neighbours (Å) after each atom.
Fractional coordinates of all 11 atoms:
Pm  0.8548  0.0000  0.2904  6 Ga 3.30-3.33, 4 Mg 3.57
Pm  0.1452  0.0000  0.7096  6 Ga 3.30-3.33, 4 Mg 3.57
Mg  0.5000  0.0000  0.0000  4 Ga 2.58
Mg  0.0000  0.5000  0.0000  4 Mg 3.04-3.21, 4 Ga 3.12
Mg  0.5000  0.5000  0.0000  4 Mg 3.04-3.21, 4 Ga 3.12
Mg  0.2500  0.5000  0.5000  4 Ga 2.64
Mg  0.7500  0.5000  0.5000  4 Ga 2.64
Ga  0.5364  0.2265  0.7006  1 Ga 2.56, 3 Mg 2.58-2.64
Ga  0.4636  0.7735  0.2994  1 Ga 2.56, 3 Mg 2.58-2.64
Ga  0.2371  0.2265  0.2994  1 Ga 2.56, 3 Mg 2.58-2.64
Ga  0.7629  0.7735  0.7006  1 Ga 2.56, 3 Mg 2.58-2.64

***

No. 6
Here is a relaxed Th4TlFe crystal from Alexandria via LeMat-Bulk. Energies are from PBE-GGA.

Properties
The density of states at the Fermi level comes out at 1.42 states/eV per atom. As for the space-group type: C2/c. As for the formation energy: -3.60 kJ/mol of atoms.

a = 6.1062 Å, b = 9.2483 Å, c = 7.7823 Å
α = 116.77°, β = 100.06°, γ = 111.49°
With the nearest neighbours (Å) after each atom.
Fractional coordinates of all 12 atoms:
Th  0.3901  0.9464  0.6669  2 Fe 2.77-2.80
Th  0.9436  0.8178  0.1990  2 Fe 3.11-3.15, 2 Tl 3.30-3.45, 1 Th 3.46
Th  0.2232  0.2795  0.3331  2 Fe 2.77-2.80
Th  0.2446  0.6188  0.8010  2 Fe 3.11-3.15, 2 Tl 3.30-3.45, 1 Th 3.46
Th  0.6099  0.0536  0.3331  2 Fe 2.77-2.80
Th  0.7768  0.7205  0.6669  2 Fe 2.77-2.80
Th  0.0564  0.1822  0.8010  2 Fe 3.11-3.15, 2 Tl 3.30-3.45, 1 Th 3.46
Th  0.7554  0.3812  0.1990  2 Fe 3.11-3.15, 2 Tl 3.30-3.45, 1 Th 3.46
Tl  0.3637  0.6137  0.2273  8 Th 3.30-3.45
Tl  0.6363  0.3863  0.7727  8 Th 3.30-3.45
Fe  0.7464  0.9964  0.9928  4 Th 2.77-2.80, 2 Fe 3.05
Fe  0.2536  0.0036  0.0072  4 Th 2.77-2.80, 2 Fe 3.05

***

No. 7
Here is a relaxed Ca2MnTlIn crystal from Alexandria via LeMat-Bulk. Energies are from PBE-GGA.

Properties
The density of states at the Fermi level comes out at 0.75 states/eV per atom. As for the space-group type: P4/mmm. As for the formation energy: 56.07 kJ/mol of atoms.

a = 5.9667 Å, b = 5.5837 Å, c = 5.9667 Å
α = 90.00°, β = 90.00°, γ = 90.00°
With the nearest neighbours (Å) after each atom.
Fractional coordinates of all 5 atoms:
Tl  0.0000  0.5000  0.0000  2 In 2.79
Mn  0.5000  0.5000  0.5000  8 Ca 4.09, 4 Tl 4.22
Ca  0.0000  0.0000  0.5000  2 In 2.98
Ca  0.5000  0.0000  0.0000  2 In 2.98
In  0.0000  0.0000  0.0000  2 Tl 2.79, 4 Ca 2.98

***

No. 8
Here is a relaxed Ga3PbCl crystal from Alexandria via LeMat-Bulk. Energies are from PBE-GGA.

Properties
The density of states at the Fermi level comes out at 0.54 states/eV per atom. As for the space-group type: Pm-3m. The formation energy (no corrections) is 20.97 kJ/mol of atoms.

a = 5.2594 Å, b = 5.2594 Å, c = 5.2594 Å
α = 90.00°, β = 90.00°, γ = 90.00°
With the nearest neighbours (Å) after each atom.
Fractional coordinates of all 5 atoms:
Pb  0.5000  0.5000  0.5000  12 Ga 3.72
Ga  0.0000  0.5000  0.0000  2 Cl 2.63
Ga  0.0000  0.0000  0.5000  2 Cl 2.63
Ga  0.5000  0.0000  0.0000  2 Cl 2.63
Cl  0.0000  0.0000  0.0000  6 Ga 2.63